A geometry-optimized ZnPd9Pt4 structure, computed with GGA-PBE.

Summary:
The symmetry is P6_3/mmc (194). Its total energy is -5.14 eV per atom.

The structure in CIF format:
```
data_ZnPd9Pt4
_symmetry_space_group_name_H-M 'P 1'
_symmetry_Int_Tables_number 1
_cell_length_a 8.538
_cell_length_b 7.809
_cell_length_c 7.809
_cell_angle_alpha 120.00
_cell_angle_beta 90.00
_cell_angle_gamma 90.00
loop_
_symmetry_equiv_pos_as_xyz
'x,y,z'
loop_
_atom_site_label
_atom_site_fract_x
_atom_site_fract_y
_atom_site_fract_z
Zn1 0.750 0.333 0.667
Pd1 0.750 0.936 0.468
Pd2 0.029 0.420 0.210
Pd3 0.250 0.064 0.532
Pd4 0.971 0.580 0.790
Pt1 0.250 0.771 0.885
Zn2 0.250 0.667 0.333
Pt2 0.250 0.115 0.885
Pd5 0.971 0.210 0.790
Pd6 0.250 0.468 0.532
Pd7 0.529 0.210 0.420
Pd8 0.529 0.580 0.790
Pd9 0.250 0.468 0.936
Pt3 0.000 0.000 0.000
Pt4 0.500 0.000 0.000
Pd10 0.471 0.790 0.210
Pd11 0.471 0.790 0.580
Pd12 0.750 0.532 0.064
Pd13 0.529 0.210 0.790
Pt5 0.750 0.229 0.115
Pt6 0.250 0.115 0.229
Pd14 0.029 0.790 0.210
Pd15 0.750 0.532 0.468
Pd16 0.029 0.790 0.580
Pt7 0.750 0.885 0.771
Pd17 0.471 0.420 0.210
Pt8 0.750 0.885 0.115
Pd18 0.971 0.210 0.420
```